This record from the Alexandria database describes KLiMg6 after structural relaxation. The functional is PBE-GGA.

Lattice parameters (Å, degrees): 6.898 6.898 5.226 90.00 90.00 121.89
Sites, in units of the cell vectors:
K 0.185 0.815 0.000
Li 0.352 0.648 0.500
Mg 0.169 0.319 0.000
Mg 0.681 0.831 0.000
Mg 0.657 0.343 0.000
Mg 0.330 0.197 0.500
Mg 0.803 0.670 0.500
Mg 0.823 0.177 0.500

Output
Its calculated formation energy is 0.149 eV per atom. The relative energy among the computed polymorphs comes out at 0.00 kcal/mol of atoms. As for the total energy: -1.42 eV/atom. The value obtained for the mass density is 1.51 g cm⁻³. The space group is No. 38.


This record from the Alexandria database describes KNa2LiMg after structural relaxation. The functional is PBE-GGA.

Lattice parameters (Å, degrees): 5.846 5.846 5.627 90.00 90.00 90.00
Sites, in units of the cell vectors:
Na 0.000 0.500 0.000
Na 0.500 0.000 0.000
K 0.500 0.500 0.500
Mg 0.000 0.000 0.500
Li 0.000 0.000 0.000

Output
Its calculated formation energy is 0.166 eV per atom. As for the total energy: -1.28 eV/atom. The value obtained for the mass density is 1.00 g cm⁻³. The space group is No. 123.


This record from the Alexandria database describes KLiMg2Ni after structural relaxation. The functional is PBE-GGA.

Lattice parameters (Å, degrees): 5.023 5.023 5.099 90.00 90.00 90.00
Sites, in units of the cell vectors:
Ni 0.000 0.000 0.000
K 0.500 0.500 0.500
Mg 0.000 0.500 0.000
Mg 0.500 0.000 0.000
Li 0.000 0.000 0.500

Output
Its calculated formation energy is 0.125 eV per atom. As for the total energy: -2.27 eV/atom. The value obtained for the mass density is 1.98 g cm⁻³. The space group is No. 123.


Copy entry 1 word for word.
This record from the Alexandria database describes KLiMg6 after structural relaxation. The functional is PBE-GGA.

Lattice parameters (Å, degrees): 6.898 6.898 5.226 90.00 90.00 121.89
Sites, in units of the cell vectors:
K 0.185 0.815 0.000
Li 0.352 0.648 0.500
Mg 0.169 0.319 0.000
Mg 0.681 0.831 0.000
Mg 0.657 0.343 0.000
Mg 0.330 0.197 0.500
Mg 0.803 0.670 0.500
Mg 0.823 0.177 0.500

Output
Its calculated formation energy is 0.149 eV per atom. The relative energy among the computed polymorphs comes out at 0.00 kcal/mol of atoms. As for the total energy: -1.42 eV/atom. The value obtained for the mass density is 1.51 g cm⁻³. The space group is No. 38.


The highest mass density belongs to which entry? KLiMg2Ni